1.
## DyPuSc (PBE-GGA)

Data for a geometry-optimized DyPuSc structure.

As for the calculated volume: 389.67 Å³ per cell. The value obtained for the formation energy from the elements is 2.25 eV/f.u. The value obtained for the electronic total energy is -7.60 eV per atom.

The space group is F-43m (No. 216) and the conventional cell measures 7.3041, 7.3041 and 7.3041 Å, with angles of 90.00, 90.00 and 90.00 degrees. The distinct sites, in fractional coordinates, are Dy at (0.0000, 0.0000, 0.0000), Pu at (0.0000, 0.0000, 0.5000) and Sc at (0.2500, 0.2500, 0.2500).

2.
## UCuGe (PBE-GGA)

Data for a geometry-optimized UCuGe structure.

As for the calculated volume: 243.36 Å³ per cell. The value obtained for the electronic total energy is -6.47 eV per atom.

The space group is F-43m (No. 216) and the conventional cell measures 6.2433, 6.2433 and 6.2433 Å, with angles of 90.00, 90.00 and 90.00 degrees. The distinct sites, in fractional coordinates, are U at (0.0000, 0.0000, 0.0000), Cu at (0.2500, 0.2500, 0.7500) and Ge at (0.0000, 0.0000, 0.5000).

3.
## ZrU (PBE-GGA)

Data for a geometry-optimized ZrU structure.

As for the calculated volume: 357.24 Å³ per cell. The value obtained for the formation energy from the elements is 0.31 eV/f.u. The calculation puts the energy above the most stable polymorph in this dataset at 7.7 kJ/mol of formula units. The value obtained for the electronic total energy is -9.77 eV per atom.

The space group is Pmmn (No. 59, origin choice 2) and the conventional cell measures 4.7143, 15.0916 and 5.0212 Å, with angles of 90.00, 90.00 and 90.00 degrees. The distinct sites, in fractional coordinates, are Zr at (0.2500, 0.1303, 0.2449), Zr at (0.2500, 0.2500, 0.7323), Zr at (0.2500, 0.7500, 0.7422), U at (0.2500, 0.0059, 0.7852) and U at (0.2500, 0.5854, 0.3277).